Entry 1:
Material: MoAu2
Method: DFT, GGA-PBE
State: relaxed

Lattice parameters (Å, degrees): 5.3304 5.3304 5.3304 102.35 102.35 124.91
Sites, in units of the cell vectors:
Mo 0.7500 0.7500 0.0000
Mo 0.2500 0.2500 0.0000
Au 0.8502 0.6498 0.5000
Au 0.6498 0.1498 0.7995
Au 0.3502 0.8502 0.2005
Au 0.1498 0.3502 0.5000

- Space group: I4/mcm, No. 140
- E_form: 40 kJ per mole of atoms
- Spin magnetization: 0.00 μB per atom

***

Entry 2:
Material: YTm2PuP4
Method: DFT, GGA-PBE
State: relaxed

Lattice parameters (Å, degrees): 3.9819 6.8754 6.8691 109.51 90.00 90.00
Sites, in units of the cell vectors:
Y 0.5000 0.5000 0.0000
Tm 0.5000 0.0000 0.5000
Tm 0.0000 0.5000 0.5000
Pu 0.0000 0.0000 0.0000
P 0.5000 0.2479 0.2509
P 0.5000 0.7521 0.7491
P 0.0000 0.2468 0.7473
P 0.0000 0.7532 0.2527

- Space group: P2/m, No. 10
- E_form: -144 kJ per mole of atoms
- Spin magnetization: 0.61 μB per atom

***

Entry 3:
Material: FeSe2N2
Method: DFT, GGA-PBE
State: relaxed

Lattice parameters (Å, degrees): 6.1476 6.1476 3.3727 90.00 90.00 90.00
Sites, in units of the cell vectors:
Fe 0.0000 0.0000 0.0000
Fe 0.5000 0.5000 0.0000
Se 0.1842 0.6842 0.5000
Se 0.6842 0.8158 0.5000
Se 0.8158 0.3158 0.5000
Se 0.3158 0.1842 0.5000
N 0.3013 0.8013 0.0000
N 0.8013 0.6987 0.0000
N 0.6987 0.1987 0.0000
N 0.1987 0.3013 0.0000

- Space group: P4/mbm, No. 127
- DFT total energy: -0.19020 Ha/atom
- Spin magnetization: 0.00 μB per atom

***

Entry 4:
Material: ReSeBr2
Method: DFT, GGA-PBE
State: relaxed

Lattice parameters (Å, degrees): 3.3161 6.8066 6.3818 61.10 90.00 90.00
Sites, in units of the cell vectors:
Br 0.0000 0.0447 0.9406
Br 0.5000 0.3587 0.3415
Re 0.0000 0.4194 0.6059
Se 0.5000 0.6772 0.6120

- Space group: Pm, No. 6
- DFT total energy: -0.17541 Ha/atom
- Spin magnetization: 0.25 μB per atom

***

Entry 5:
Material: Li3Te4Pd8
Method: DFT, GGA-PBE
State: relaxed

Lattice parameters (Å, degrees): 9.2096 9.2096 9.2096 60.00 60.00 60.00
Sites, in units of the cell vectors:
Li 0.7176 0.7176 0.2824
Li 0.2824 0.2824 0.7176
Li 0.7176 0.2824 0.2824
Li 0.2824 0.7176 0.7176
Li 0.7176 0.2824 0.7176
Li 0.2824 0.7176 0.2824
Te 0.0000 0.0000 0.0000
Te 0.5000 0.5000 0.0000
Te 0.0000 0.0000 0.5000
Te 0.5000 0.0000 0.0000
Te 0.0000 0.5000 0.5000
Te 0.5000 0.0000 0.5000
Te 0.0000 0.5000 0.0000
Te 0.5000 0.5000 0.5000
Pd 0.6442 0.1186 0.1186
Pd 0.3558 0.8814 0.8814
Pd 0.1186 0.1186 0.6442
Pd 0.1186 0.1186 0.1186
Pd 0.8814 0.8814 0.3558
Pd 0.8814 0.8814 0.8814
Pd 0.1186 0.6442 0.1186
Pd 0.8814 0.3558 0.8814
Pd 0.0012 0.3329 0.3329
Pd 0.9988 0.6671 0.6671
Pd 0.3329 0.3329 0.0012
Pd 0.3329 0.3329 0.3329
Pd 0.6671 0.6671 0.9988
Pd 0.6671 0.6671 0.6671
Pd 0.3329 0.0012 0.3329
Pd 0.6671 0.9988 0.6671

- Space group: Fm-3m, No. 225
- DFT total energy: -0.16347 Ha/atom
- Spin magnetization: 0.00 μB per atom

***

Entry 6:
Material: Ti5HSe2
Method: DFT, GGA-PBE
State: relaxed

Lattice parameters (Å, degrees): 4.3775 6.3907 11.0329 90.00 90.00 110.03
Sites, in units of the cell vectors:
Ti 0.9058 0.8116 0.8746
Ti 0.9058 0.8116 0.6254
Ti 0.3085 0.6169 0.4697
Ti 0.3085 0.6169 0.0303
Ti 0.7057 0.4113 0.2500
Ti 0.2943 0.5887 0.7500
Ti 0.6915 0.3831 0.5303
Ti 0.6915 0.3831 0.9697
Ti 0.0942 0.1884 0.1254
Ti 0.0942 0.1884 0.3746
H 0.7940 0.5881 0.7500
H 0.2060 0.4119 0.2500
Se 0.8814 0.7628 0.3889
Se 0.8814 0.7628 0.1111
Se 0.1186 0.2372 0.6111
Se 0.1186 0.2372 0.8889

- Space group: Cmcm, No. 63
- DFT total energy: -0.24183 Ha/atom
- Spin magnetization: 0.00 μB per atom

***

Entry 7:
Material: AcTb5PmHo2
Method: DFT, GGA-PBE
State: relaxed

Lattice parameters (Å, degrees): 9.0036 9.0036 9.9096 117.02 117.02 90.00
Sites, in units of the cell vectors:
Ac 0.2500 0.2500 0.5000
Ac 0.7500 0.7500 0.5000
Tb 0.9258 0.4258 0.2505
Tb 0.6753 0.1753 0.7495
Tb 0.0742 0.5742 0.7495
Tb 0.1753 0.0742 0.7495
Tb 0.5742 0.6753 0.7495
Tb 0.8247 0.9258 0.2505
Tb 0.4258 0.3247 0.2505
Tb 0.3247 0.8247 0.2505
Tb 0.5000 0.5000 0.0000
Tb 0.0000 0.0000 0.0000
Pm 0.2500 0.7500 0.5000
Pm 0.7500 0.2500 0.5000
Ho 0.1137 0.3863 0.0000
Ho 0.6137 0.1137 0.0000
Ho 0.3863 0.8863 0.0000
Ho 0.8863 0.6137 0.0000

- Space group: I4/mcm, No. 140
- E_form: 26 kJ per mole of atoms
- Spin magnetization: 0.00 μB per atom

***

Entry 8:
Material: La3AuC
Method: DFT, GGA-PBE
State: relaxed

Lattice parameters (Å, degrees): 3.9096 9.1049 14.7771 90.00 90.00 90.00
Sites, in units of the cell vectors:
La 0.7500 0.2084 0.3017
La 0.2500 0.6777 0.9826
La 0.2500 0.0201 0.1028
La 0.2500 0.5201 0.3972
La 0.2500 0.1777 0.5174
La 0.7500 0.4799 0.6028
La 0.2500 0.2916 0.8017
La 0.7500 0.9799 0.8972
La 0.7500 0.3223 0.0174
La 0.7500 0.7084 0.1983
La 0.7500 0.8223 0.4826
La 0.2500 0.7916 0.6983
Au 0.2500 0.9205 0.3243
Au 0.7500 0.0795 0.6757
Au 0.7500 0.5795 0.8243
Au 0.2500 0.4205 0.1757
C 0.2500 0.6602 0.5525
C 0.7500 0.3398 0.4475
C 0.7500 0.8398 0.0525
C 0.2500 0.1602 0.9475

- Space group: Pnma, No. 62
- E_form: -37 kJ per mole of atoms
- Spin magnetization: 0.00 μB per atom

***

Entry 9:
Material: Cd2SiMo
Method: DFT, GGA-PBE
State: relaxed

Lattice parameters (Å, degrees): 2.7835 4.8973 5.3657 90.00 90.00 90.00
Sites, in units of the cell vectors:
Cd 0.0000 0.0000 0.0039
Cd 0.0000 0.0000 0.4961
Mo 0.5000 0.5000 0.2500
Si 0.5000 0.5000 0.7500

- Space group: Pmmm, No. 47
- DFT total energy: -0.14778 Ha/atom
- Spin magnetization: 0.00 μB per atom

***

Entry 10:
Material: Na5BeTeO2
Method: DFT, GGA-PBE
State: relaxed

Lattice parameters (Å, degrees): 4.7917 4.7917 8.1165 90.00 90.00 90.00
Sites, in units of the cell vectors:
Na 0.0000 0.0000 0.5000
Na 0.0000 0.5000 0.7750
Na 0.5000 0.0000 0.2250
Na 0.0000 0.5000 0.2250
Na 0.5000 0.0000 0.7750
Be 0.0000 0.0000 0.0000
Te 0.5000 0.5000 0.5000
O 0.0000 0.0000 0.1800
O 0.0000 0.0000 0.8200

- Space group: P4/mmm, No. 123
- DFT total energy: -0.14244 Ha/atom
- Spin magnetization: 0.00 μB per atom

***

Entry 11:
Material: BeZnF3
Method: DFT, GGA-PBE
State: relaxed

Lattice parameters (Å, degrees): 3.6585 3.6585 3.6585 90.00 90.00 90.00
Sites, in units of the cell vectors:
Be 0.0000 0.0000 0.0000
Zn 0.5000 0.5000 0.5000
F 0.0000 0.5000 0.0000
F 0.5000 0.0000 0.0000
F 0.0000 0.0000 0.5000

- Space group: Pm-3m, No. 221
- DFT total energy: -0.15262 Ha/atom
- Spin magnetization: 0.00 μB per atom

***

Entry 12:
Material: CaHo2In
Method: DFT, GGA-PBE
State: relaxed

Lattice parameters (Å, degrees): 4.8146 4.9197 4.9197 90.00 90.00 90.00
Sites, in units of the cell vectors:
Ca 0.5000 0.5000 0.5000
Ho 0.0000 0.0000 0.5000
Ho 0.0000 0.5000 0.0000
In 0.5000 0.0000 0.0000

- Space group: P4/mmm, No. 123
- E_form: -19 kJ per mole of atoms
- Spin magnetization: 0.00 μB per atom

***

Q: Among the records above, which one has the highest spin magnetization?
A: YTm2PuP4